Entry from Alexandria: a relaxed PmFe2O4 crystal (GGA+U).

As for the final energy: -201.97 eV per cell.

It has space group Imma (No. 74), with a = 6.864 Å, b = 7.180 Å, c = 7.007 Å, α = 90.00°, β = 90.00° and γ = 90.00°. The asymmetric unit holds Pm at (0.000, 0.250, 0.139), Fe at (0.000, 0.000, 0.500), Fe at (0.250, 0.250, 0.750), O at (0.000, 0.070, 0.788) and O at (0.190, 0.250, 0.471).